Compound: AgIr2Pt
Source: Alexandria via LeMat-Bulk
Functional: PBE
Structure: relaxed

Cell lengths 4.4574, 4.4574, 4.4574 Å; angles 60.00, 60.00, 60.00 degrees
Last column: nearest neighbours and their distance in Å.
Element x y z (fractional)
Ag: 0.0000 0.0000 0.0000  8 Ir 2.73
Ir: 0.2500 0.2500 0.2500  4 Pt 2.73, 4 Ag 2.73
Ir: 0.7500 0.7500 0.7500  4 Ag 2.73, 4 Pt 2.73
Pt: 0.5000 0.5000 0.5000  8 Ir 2.73

total magnetization = 0.00 Bohr magnetons per cell
SG = No. 225
V = 62.62 Å³/f.u.
DFT formation energy = 553 meV/atom
density of states at the Fermi level = 10.90 states/eV per cell